The following is a DFT calculation (PBE-GGA) of crystalline Sr3Li2Mg at its relaxed geometry.

Computed properties:
The calculation puts the density of states at the Fermi level at 1.068 states/eV per atom. Its total energy is -1.746 eV per atom. For the formation energy, the calculation gives -0.01 eV/f.u. The calculation puts the polymorph energy (0 for the lowest one) at 2 meV/atom. The magnetization is 0.00 μB per atom.

Cell lengths 5.9457, 5.9457, 14.6412 Å; angles 90.00, 90.00, 120.00 degrees
Last column: nearest neighbours and their distance in Å.
Sites, in units of the cell vectors:
Sr 0.0000 0.0000 0.2490  5 Li 3.64-3.67, 3 Mg 3.64
Sr 0.0000 0.0000 0.7510  5 Li 3.64-3.67, 3 Mg 3.64
Sr 0.3333 0.6667 0.4165  7 Li 3.64-3.70, 1 Mg 3.65
Sr 0.3333 0.6667 0.9176  4 Li 3.63-3.64, 4 Mg 3.65
Sr 0.6667 0.3333 0.0824  4 Li 3.63-3.64, 4 Mg 3.65
Sr 0.6667 0.3333 0.5835  7 Li 3.64-3.70, 1 Mg 3.65
Li 0.0000 0.0000 0.0000  8 Sr 3.64-3.65
Li 0.0000 0.0000 0.5000  8 Sr 3.64-3.67
Li 0.3333 0.6667 0.6693  8 Sr 3.63-3.70
Li 0.6667 0.3333 0.3307  8 Sr 3.63-3.70
Mg 0.3333 0.6667 0.1672  8 Sr 3.64-3.65
Mg 0.6667 0.3333 0.8328  8 Sr 3.64-3.65